Here is a relaxed MgVIrO6 crystal from the Alexandria database. Energies are from PBE with a Hubbard U.

a b c (Å): 4.9834 4.9834 8.6173
angles (deg): 90.00 90.00 120.00
Closest atoms and distances in Å follow each position.
Element x y z (fractional)
Mg (0.3333, 0.6667, 0.2500)  6 O 2.06
Mg (0.6667, 0.3333, 0.7500)  6 O 2.06
V (0.0000, 0.0000, 0.0000)  6 O 1.92
V (0.0000, 0.0000, 0.5000)  6 O 1.92
Ir (0.3333, 0.6667, 0.7500)  6 O 1.97
Ir (0.6667, 0.3333, 0.2500)  6 O 1.97
O (0.0155, 0.3307, 0.6223)  1 V 1.92, 1 Ir 1.97, 1 Mg 2.06
O (0.0155, 0.6849, 0.8777)  1 V 1.92, 1 Ir 1.97, 1 Mg 2.06
O (0.3151, 0.3307, 0.8777)  1 V 1.92, 1 Ir 1.97, 1 Mg 2.06
O (0.3151, 0.9845, 0.6223)  1 V 1.92, 1 Ir 1.97, 1 Mg 2.06
O (0.3307, 0.0155, 0.1223)  1 V 1.92, 1 Ir 1.97, 1 Mg 2.06
O (0.3307, 0.3151, 0.3777)  1 V 1.92, 1 Ir 1.97, 1 Mg 2.06
O (0.6693, 0.6849, 0.6223)  1 V 1.92, 1 Ir 1.97, 1 Mg 2.06
O (0.6693, 0.9845, 0.8777)  1 V 1.92, 1 Ir 1.97, 1 Mg 2.06
O (0.6849, 0.0155, 0.3777)  1 V 1.92, 1 Ir 1.97, 1 Mg 2.06
O (0.6849, 0.6693, 0.1223)  1 V 1.92, 1 Ir 1.97, 1 Mg 2.06
O (0.9845, 0.3151, 0.1223)  1 V 1.92, 1 Ir 1.97, 1 Mg 2.06
O (0.9845, 0.6693, 0.3777)  1 V 1.92, 1 Ir 1.97, 1 Mg 2.06

Summary:
SG   P-31c
E_tot   -121.88 eV per cell
DOS at the Fermi energy   0.725 states/eV/atom